# 1
# EuAgRh GGA-PBE optimized geometry
data_EuAgRh
_chemical_formula_sum 'Eu1 Ag1 Rh1'
_cell_length_a 4.6641
_cell_length_b 4.6641
_cell_length_c 3.5029
_cell_angle_alpha 90.00
_cell_angle_beta 90.00
_cell_angle_gamma 120.00
_space_group_name_H-M_alt 'P -6 m 2'
_space_group_IT_number 187
_space_group_name_Hall 'P -6 2'
loop_
_atom_site_label
_atom_site_fract_x
_atom_site_fract_y
_atom_site_fract_z
_atom_site_occupancy
Eu1 0.0000 0.0000 0.0000 1
Ag1 0.6667 0.3333 0.5000 1
Rh1 0.3333 0.6667 0.5000 1
# - Size of the total moment: 6.8 Bohr magnetons per cell
# - Energy relative to the elements: -0.1184 eV/atom
# - DOS at the Fermi energy: 11.54 states/eV/cell

=====

# 2
# PdWIN2 GGA-PBE optimized geometry
data_PdWIN2
_chemical_formula_sum 'Pd1 W1 I1 N2'
_cell_length_a 3.960
_cell_length_b 3.960
_cell_length_c 5.457
_cell_angle_alpha 90.00
_cell_angle_beta 90.00
_cell_angle_gamma 90.00
_space_group_name_H-M_alt 'P 4/m m m'
_space_group_IT_number 123
_space_group_name_Hall '-P 4 2'
loop_
_atom_site_label
_atom_site_fract_x
_atom_site_fract_y
_atom_site_fract_z
_atom_site_occupancy
Pd1 0.000 0.000 0.000 1
W1 0.500 0.500 0.500 1
I1 0.000 0.000 0.500 1
N1 0.000 0.500 0.000 1
# - Size of the total moment: 0.6 Bohr magnetons per cell
# - DOS at the Fermi energy: 6.04 states/eV/cell
# - Uncorrected formation energy: 2.393 eV per atom

=====

| no. | distance to the lowest polymorph of the same formula (eV per atom) |
| --- | --- |
| 1 | 0.000 |
| 2 | 1.839 |